CoPt2Br | the Alexandria database | PBE | relaxed; M_tot = 2.9 μB/f.u.; symmetry = No. 166; uncorrected formation energy = 0.29 eV/atom; energy = -4.922 eV per atom
1.0
1.3874 0.8010 11.0676
-1.3874 0.8010 11.0676
0.0000 -1.6020 11.0676
Co Pt Br
1 2 1
Direct
0.0000 0.0000 0.0000
0.2711 0.2711 0.2711
0.7289 0.7289 0.7289
0.5000 0.5000 0.5000



Dy4CuRh | the Alexandria database | PBE | relaxed; E_form = -0.394 eV/atom; M_tot = 0.0 μB/f.u.; symmetry = No. 216; energy = -5.370 eV per atom
1.0
0.0000 6.6425 6.6425
6.6425 0.0000 6.6425
6.6425 6.6425 0.0000
Dy Cu Rh
16 4 4
Direct
0.0609 0.0609 0.4391
0.0609 0.4391 0.0609
0.0609 0.4391 0.4391
0.1715 0.6095 0.6095
0.1855 0.1855 0.8145
0.1855 0.8145 0.1855
0.1855 0.8145 0.8145
0.4391 0.0609 0.0609
0.4391 0.0609 0.4391
0.4391 0.4391 0.0609
0.6095 0.1715 0.6095
0.6095 0.6095 0.1715
0.6095 0.6095 0.6095
0.8145 0.1855 0.1855
0.8145 0.1855 0.8145
0.8145 0.8145 0.1855
0.5043 0.8319 0.8319
0.8319 0.5043 0.8319
0.8319 0.8319 0.5043
0.8319 0.8319 0.8319
0.3954 0.3954 0.3954
0.3954 0.3954 0.8138
0.3954 0.8138 0.3954
0.8138 0.3954 0.3954



PaMnCu2 | the Alexandria database | PBE | relaxed; E_form = 0.221 eV/atom; M_tot = 3.7 μB/f.u.; symmetry = No. 166; energy = -6.493 eV per atom
1.0
2.1829 1.2603 4.2496
-2.1829 1.2603 4.2496
0.0000 -2.5206 4.2496
Pa Mn Cu
1 1 2
Direct
0.0000 0.0000 0.0000
0.5000 0.5000 0.5000
0.2203 0.2203 0.2203
0.7797 0.7797 0.7797



Ta3SbO | the Alexandria database | PBE | relaxed; M_tot = 0.0 μB/f.u.; symmetry = No. 221; uncorrected formation energy = -0.48 eV/atom; energy = -9.405 eV per atom
1.0
4.3052 0.0000 0.0000
0.0000 4.3052 0.0000
0.0000 0.0000 4.3052
Ta Sb O
3 1 1
Direct
0.0000 0.0000 0.5000
0.0000 0.5000 0.0000
0.5000 0.0000 0.0000
0.5000 0.5000 0.5000
0.0000 0.0000 0.0000